TiTc: optimized geometry, GGA-PBE.

Cell lengths 9.6477, 7.7019, 6.9911 Å; angles 90.00, 90.00, 90.00 degrees
With the nearest neighbours (Å) after each atom.
Fractional positions:
Tc 0.2500 0.7500 0.9367  6 Ti 2.50-2.74, 1 Tc 2.61
Tc 0.0000 0.5000 0.8133  6 Ti 2.50-2.74, 1 Tc 2.61
Ti 0.7500 0.4366 0.2500  6 Tc 2.50-2.74
Ti 0.0000 0.8134 0.0000  6 Tc 2.50-2.74
Ti 0.5000 0.8134 0.5000  6 Tc 2.50-2.74
Ti 0.7500 0.0634 0.2500  6 Tc 2.50-2.74
Tc 0.5000 0.0000 0.8133  6 Ti 2.50-2.74, 1 Tc 2.61
Ti 0.0000 0.6866 0.5000  6 Tc 2.50-2.74
Ti 0.2500 0.0634 0.7500  6 Tc 2.50-2.74
Ti 0.5000 0.6866 0.0000  6 Tc 2.50-2.74
Tc 0.0000 0.0000 0.3133  6 Ti 2.50-2.74, 1 Tc 2.61
Ti 0.2500 0.4366 0.7500  6 Tc 2.50-2.74
Tc 0.7500 0.7500 0.0633  6 Ti 2.50-2.74, 1 Tc 2.61
Ti 0.5000 0.3134 0.0000  6 Tc 2.50-2.74
Ti 0.2500 0.5634 0.2500  6 Tc 2.50-2.74
Tc 0.2500 0.7500 0.5633  6 Ti 2.50-2.74, 1 Tc 2.61
Ti 0.7500 0.9366 0.7500  6 Tc 2.50-2.74
Tc 0.5000 0.5000 0.3133  6 Ti 2.50-2.74, 1 Tc 2.61
Tc 0.2500 0.2500 0.4367  6 Ti 2.50-2.74, 1 Tc 2.61
Tc 0.7500 0.2500 0.9367  6 Ti 2.50-2.74, 1 Tc 2.61
Ti 0.0000 0.1866 0.0000  6 Tc 2.50-2.74
Ti 0.5000 0.1866 0.5000  6 Tc 2.50-2.74
Tc 0.0000 0.5000 0.1867  6 Ti 2.50-2.74, 1 Tc 2.61
Tc 0.5000 0.0000 0.1867  6 Ti 2.50-2.74, 1 Tc 2.61
Tc 0.2500 0.2500 0.0633  6 Ti 2.50-2.74, 1 Tc 2.61
Tc 0.7500 0.7500 0.4367  6 Ti 2.50-2.74, 1 Tc 2.61
Ti 0.7500 0.5634 0.7500  6 Tc 2.50-2.74
Tc 0.0000 0.0000 0.6867  6 Ti 2.50-2.74, 1 Tc 2.61
Ti 0.2500 0.9366 0.2500  6 Tc 2.50-2.74
Ti 0.0000 0.3134 0.5000  6 Tc 2.50-2.74
Tc 0.5000 0.5000 0.6867  6 Ti 2.50-2.74, 1 Tc 2.61
Tc 0.7500 0.2500 0.5633  6 Ti 2.50-2.74, 1 Tc 2.61

calculated formation energy = 0.18 eV/atom
V = 519.47 Å³/cell



TiTc: optimized geometry, GGA-PBE.

Cell lengths 7.6747, 7.6747, 4.4742 Å; angles 90.00, 90.00, 90.00 degrees
With the nearest neighbours (Å) after each atom.
Fractional positions:
Ti 0.0000 0.3044 0.5000  6 Tc 2.61-2.78
Tc 0.3380 0.6620 0.5000  2 Tc 2.49, 6 Ti 2.61-2.78
Tc 0.3380 0.3380 0.5000  2 Tc 2.49, 6 Ti 2.61-2.78
Ti 0.3044 0.0000 0.5000  6 Tc 2.61-2.78
Tc 0.1620 0.1620 0.0000  2 Tc 2.49, 6 Ti 2.61-2.78
Tc 0.6620 0.6620 0.5000  2 Tc 2.49, 6 Ti 2.61-2.78
Tc 0.8380 0.1620 0.0000  2 Tc 2.49, 6 Ti 2.61-2.78
Ti 0.6956 0.0000 0.5000  6 Tc 2.61-2.78
Tc 0.1620 0.8380 0.0000  2 Tc 2.49, 6 Ti 2.61-2.78
Tc 0.8380 0.8380 0.0000  2 Tc 2.49, 6 Ti 2.61-2.78
Ti 0.5000 0.1956 0.0000  6 Tc 2.61-2.78
Ti 0.8044 0.5000 0.0000  6 Tc 2.61-2.78
Ti 0.1956 0.5000 0.0000  6 Tc 2.61-2.78
Ti 0.0000 0.6956 0.5000  6 Tc 2.61-2.78
Ti 0.5000 0.8044 0.0000  6 Tc 2.61-2.78
Tc 0.6620 0.3380 0.5000  2 Tc 2.49, 6 Ti 2.61-2.78

calculated formation energy = -0.07 eV/atom
V = 263.53 Å³/cell



Ti3Tc5: optimized geometry, GGA-PBE.

Cell lengths 5.3621, 5.3621, 5.3621 Å; angles 109.47, 109.47, 109.47 degrees
With the nearest neighbours (Å) after each atom.
Fractional positions:
Ti 0.5000 0.0000 0.5000  8 Tc 2.68
Tc 0.0000 0.0000 0.0000  8 Tc 2.68
Tc 0.0000 0.5000 0.0000  6 Ti 2.68, 2 Tc 2.68
Ti 0.0000 0.5000 0.5000  8 Tc 2.68
Tc 0.0000 0.0000 0.5000  6 Ti 2.68, 2 Tc 2.68
Ti 0.5000 0.5000 0.0000  8 Tc 2.68
Tc 0.5000 0.0000 0.0000  6 Ti 2.68, 2 Tc 2.68
Tc 0.5000 0.5000 0.5000  2 Tc 2.68, 6 Ti 2.68

calculated formation energy = -0.41 eV/atom
V = 118.68 Å³/cell



Ti5Tc: optimized geometry, GGA-PBE.

Cell lengths 4.5761, 3.1638, 6.9867 Å; angles 103.09, 90.00, 90.00 degrees
With the nearest neighbours (Å) after each atom.
Fractional positions:
Ti 0.5000 0.5000 0.0000  4 Tc 2.78, 8 Ti 2.79-3.10
Ti 0.5000 0.1690 0.3379  8 Ti 2.71-2.79
Ti 0.5000 0.8310 0.6621  8 Ti 2.71-2.79
Tc 0.0000 0.0000 0.0000  8 Ti 2.62-2.78
Ti 0.0000 0.6535 0.3069  2 Tc 2.62, 4 Ti 2.79
Ti 0.0000 0.3465 0.6931  2 Tc 2.62, 4 Ti 2.79

calculated formation energy = -0.12 eV/atom
V = 98.53 Å³/cell



Ti2Tc: optimized geometry, GGA-PBE.

Cell lengths 3.1168, 6.9377, 9.0341 Å; angles 90.00, 90.00, 90.00 degrees
With the nearest neighbours (Å) after each atom.
Fractional positions:
Ti 0.7500 0.6485 0.9180  4 Tc 2.47-2.66
Ti 0.7500 0.5023 0.3644  4 Tc 2.63-2.84, 4 Ti 2.90-2.92
Ti 0.7500 0.1485 0.5820  4 Tc 2.47-2.66
Ti 0.2500 0.9977 0.8644  4 Tc 2.63-2.84, 4 Ti 2.90-2.92
Tc 0.7500 0.3029 0.8510  6 Ti 2.47-2.66
Ti 0.2500 0.8515 0.4180  4 Tc 2.47-2.66
Tc 0.2500 0.6971 0.1490  6 Ti 2.47-2.66
Tc 0.7500 0.8029 0.6490  6 Ti 2.47-2.66
Tc 0.2500 0.1971 0.3510  6 Ti 2.47-2.66
Ti 0.2500 0.4977 0.6356  4 Tc 2.63-2.84, 4 Ti 2.90-2.92
Ti 0.7500 0.0023 0.1356  4 Tc 2.63-2.84, 4 Ti 2.90-2.92
Ti 0.2500 0.3515 0.0820  4 Tc 2.47-2.66

calculated formation energy = -0.17 eV/atom
V = 195.35 Å³/cell



TiTc: optimized geometry, GGA-PBE.

Cell lengths 7.6130, 7.6130, 4.5701 Å; angles 90.00, 90.00, 90.00 degrees
With the nearest neighbours (Å) after each atom.
Fractional positions:
Tc 0.1759 0.4583 0.0000  2 Ti 2.41-2.49
Tc 0.6206 0.7043 0.5000  4 Tc 2.55-2.75, 4 Ti 2.58-2.85
Tc 0.7043 0.3794 0.5000  4 Tc 2.55-2.75, 4 Ti 2.58-2.85
Ti 0.9628 0.6818 0.5000  4 Tc 2.58-2.73, 3 Ti 2.78-2.83
Tc 0.4583 0.8241 0.0000  2 Ti 2.41-2.49
Ti 0.6818 0.0372 0.5000  4 Tc 2.58-2.73, 3 Ti 2.78-2.83
Ti 0.8560 0.2160 0.0000  2 Tc 2.41-2.49
Ti 0.0372 0.3182 0.5000  4 Tc 2.58-2.73, 3 Ti 2.78-2.83
Tc 0.2957 0.6206 0.5000  4 Tc 2.55-2.75, 4 Ti 2.58-2.85
Ti 0.1440 0.7840 0.0000  2 Tc 2.41-2.49
Ti 0.7840 0.8560 0.0000  2 Tc 2.41-2.49
Tc 0.3794 0.2957 0.5000  4 Tc 2.55-2.75, 4 Ti 2.58-2.85
Ti 0.3182 0.9628 0.5000  4 Tc 2.58-2.73, 3 Ti 2.78-2.83
Tc 0.5417 0.1759 0.0000  2 Ti 2.41-2.49
Tc 0.8241 0.5417 0.0000  2 Ti 2.41-2.49
Ti 0.2160 0.1440 0.0000  2 Tc 2.41-2.49

calculated formation energy = 0.03 eV/atom
V = 264.88 Å³/cell